1.
Density functional theory data (GGA-PBE) for a relaxed CsGe3Pd crystal.

Calculated values
For the density of states at the Fermi level, the calculation gives 7.333 states/eV/cell. The excess energy over the best structure of this formula in the dataset is 1691 meV/atom. The calculation puts the energy relative to the elements at 2.069 eV per atom. The total energy comes out at -1.911 eV per atom. The calculation puts the total magnetic moment at 0.0 μB/f.u.

Cell and atoms, written as extended XYZ:
```
5
Lattice="5.637 0.000 0.000 0.000 5.637 0.000 0.000 0.000 5.637" Properties=species:S:1:pos:R:3 pbc="T T T"
Cs 0.000 0.000 0.000
Ge 0.000 2.818 0.000
Ge 0.000 0.000 2.818
Ge 2.818 0.000 0.000
Pd 2.818 2.818 2.818
```

***

2.
Density functional theory data (GGA-PBE) for a relaxed NaDy2Cu crystal.

Calculated values
For the density of states at the Fermi level, the calculation gives 3.565 states/eV/cell. The excess energy over the best structure of this formula in the dataset is 170 meV/atom. The calculation puts the energy relative to the elements at 0.190 eV per atom. The total energy comes out at -3.465 eV per atom. The calculation puts the total magnetic moment at 0.0 μB/f.u.

Cell and atoms, written as extended XYZ:
```
4
Lattice="-1.664 2.143 -2.242 -2.158 -1.337 -2.438 -9.728 1.074 5.483" Properties=species:S:1:pos:R:3 pbc="T T T"
Na 0.000 0.000 0.000
Cu -6.775 0.940 0.402
Dy -7.029 0.817 3.234
Dy -6.522 1.063 -2.431
```